This record from Alexandria describes an optimized crystal structure of Sc2VCo. The functional is PBE-GGA.

abc: 3.0820 3.0820 7.0600
angles: 90.00 90.00 90.00
Closest atoms and distances in Å follow each position.
Sites, in units of the cell vectors:
1 Sc 0.0000 0.0000 0.2205  4 Co 2.68, 4 V 2.94
2 Sc 0.0000 0.0000 0.7795  4 Co 2.68, 4 V 2.94
3 V 0.5000 0.5000 0.5000  8 Sc 2.94, 4 V 3.08
4 Co 0.5000 0.5000 0.0000  8 Sc 2.68

## Properties
**ΔE to the lowest computed polymorph**: 5.4 meV/atom


This record from Alexandria describes an optimized crystal structure of Sc2V2Co. The functional is PBE-GGA.

abc: 6.0393 6.0393 4.6131
angles: 90.00 90.00 90.00
Closest atoms and distances in Å follow each position.
Sites, in units of the cell vectors:
1 Sc 0.1694 0.3306 0.0000  6 V 2.81-2.98, 1 Sc 2.89
2 Sc 0.3306 0.8306 0.0000  6 V 2.81-2.98, 1 Sc 2.89
3 Sc 0.6694 0.1694 0.0000  6 V 2.81-2.98, 1 Sc 2.89
4 Sc 0.8306 0.6694 0.0000  6 V 2.81-2.98, 1 Sc 2.89
5 V 0.1428 0.6428 0.5000  2 Co 2.32, 1 V 2.44
6 V 0.3572 0.1428 0.5000  2 Co 2.32, 1 V 2.44
7 V 0.6428 0.8572 0.5000  2 Co 2.32, 1 V 2.44
8 V 0.8572 0.3572 0.5000  2 Co 2.32, 1 V 2.44
9 Co 0.0000 0.0000 0.5000  4 V 2.32
10 Co 0.5000 0.5000 0.5000  4 V 2.32

## Properties
**Total energy**: -7.49 eV/atom


This record from Alexandria describes an optimized crystal structure of Sc2VCo2. The functional is PBE-GGA.

abc: 6.0827 6.0827 4.2583
angles: 90.00 90.00 90.00
Closest atoms and distances in Å follow each position.
Sites, in units of the cell vectors:
1 Sc 0.1784 0.3216 0.0000  6 Co 2.67-2.87
2 Sc 0.3216 0.8216 0.0000  6 Co 2.67-2.87
3 Sc 0.6784 0.1784 0.0000  6 Co 2.67-2.87
4 Sc 0.8216 0.6784 0.0000  6 Co 2.67-2.87
5 V 0.0000 0.0000 0.5000  4 Co 2.37
6 V 0.5000 0.5000 0.5000  4 Co 2.37
7 Co 0.1343 0.6343 0.5000  1 Co 2.31, 2 V 2.37
8 Co 0.3657 0.1343 0.5000  1 Co 2.31, 2 V 2.37
9 Co 0.6343 0.8657 0.5000  1 Co 2.31, 2 V 2.37
10 Co 0.8657 0.3657 0.5000  1 Co 2.31, 2 V 2.37

## Properties
**ΔE to the lowest computed polymorph**: 68.4 meV/atom


This record from Alexandria describes an optimized crystal structure of ScVCo2. The functional is PBE-GGA.

abc: 2.8867 2.8867 6.5346
angles: 90.00 90.00 90.00
Closest atoms and distances in Å follow each position.
Sites, in units of the cell vectors:
1 Sc 0.0000 0.0000 0.0000  8 Co 2.81, 4 Sc 2.89
2 V 0.0000 0.0000 0.5000  8 Co 2.44
3 Co 0.5000 0.5000 0.2953  4 V 2.44, 1 Co 2.67
4 Co 0.5000 0.5000 0.7047  4 V 2.44, 1 Co 2.67

## Properties
**Total energy**: -7.62 eV/atom